Computed, not measured: a crystal of HfIn2CoTc relaxed with PBEsol at the meta-GGA SCAN level of DFT.

Values from the calculation:
The space group is P4/mmm (123). Its formation energy is 4.19 eV per formula unit. The value obtained for the calculated density is 7.73 Mg/m³.

Unit cell a=5.0604 b=5.0604 c=4.7415 alpha=90.00 beta=90.00 gamma=90.00
Closest atoms and distances in Å follow each position.
Sites, in units of the cell vectors:
Hf1 0.0000 0.0000 0.0000  2 Tc 2.37
In1 0.0000 0.5000 0.5000  2 Tc 2.53
In2 0.5000 0.0000 0.5000  2 Tc 2.53
Co1 0.5000 0.5000 0.0000  8 In 3.47, 4 Hf 3.58
Tc1 0.0000 0.0000 0.5000  2 Hf 2.37, 4 In 2.53

Computed, not measured: a crystal of Hf2Co2Ir relaxed with PBEsol at the meta-GGA SCAN level of DFT.

Values from the calculation:
The space group is P4/mbm (127). Its formation energy is -2.58 eV per formula unit. The value obtained for the calculated density is 15.07 Mg/m³.

Unit cell a=6.6038 b=6.6038 c=3.3700 alpha=90.00 beta=90.00 gamma=90.00
Closest atoms and distances in Å follow each position.
Sites, in units of the cell vectors:
Hf1 0.1834 0.3166 0.0000  6 Co 2.50-2.65
Hf2 0.3166 0.8166 0.0000  6 Co 2.50-2.65
Hf3 0.6834 0.1834 0.0000  6 Co 2.50-2.65
Hf4 0.8166 0.6834 0.0000  6 Co 2.50-2.65
Co1 0.1187 0.6187 0.5000  1 Co 2.22
Co2 0.3813 0.1187 0.5000  1 Co 2.22
Co3 0.6187 0.8813 0.5000  1 Co 2.22
Co4 0.8813 0.3813 0.5000  1 Co 2.22
Ir1 0.0000 0.0000 0.5000  4 Co 2.64, 8 Hf 2.95
Ir2 0.5000 0.5000 0.5000  4 Co 2.64, 8 Hf 2.95

Please write out number 2 again, unchanged.
Computed, not measured: a crystal of Hf2Co2Ir relaxed with PBEsol at the meta-GGA SCAN level of DFT.

Values from the calculation:
The space group is P4/mbm (127). Its formation energy is -2.58 eV per formula unit. The value obtained for the calculated density is 15.07 Mg/m³.

Unit cell a=6.6038 b=6.6038 c=3.3700 alpha=90.00 beta=90.00 gamma=90.00
Closest atoms and distances in Å follow each position.
Sites, in units of the cell vectors:
Hf1 0.1834 0.3166 0.0000  6 Co 2.50-2.65
Hf2 0.3166 0.8166 0.0000  6 Co 2.50-2.65
Hf3 0.6834 0.1834 0.0000  6 Co 2.50-2.65
Hf4 0.8166 0.6834 0.0000  6 Co 2.50-2.65
Co1 0.1187 0.6187 0.5000  1 Co 2.22
Co2 0.3813 0.1187 0.5000  1 Co 2.22
Co3 0.6187 0.8813 0.5000  1 Co 2.22
Co4 0.8813 0.3813 0.5000  1 Co 2.22
Ir1 0.0000 0.0000 0.5000  4 Co 2.64, 8 Hf 2.95
Ir2 0.5000 0.5000 0.5000  4 Co 2.64, 8 Hf 2.95

Q: What is the calculated density in the first record?
A: 7.73 Mg/m³